K2H2I2O | PBE | optimized geometry

Cell: 6.908 6.908 8.456 Å, 127.73 127.73 37.71°
Element x y z (fractional)
K (0.001, 0.001, 0.255)
K (0.999, 0.999, 0.745)
H (0.403, 0.403, 0.904)
H (0.597, 0.597, 0.096)
I (0.290, 0.290, 0.290)
I (0.710, 0.710, 0.710)
O (0.500, 0.500, 0.000)

Properties
* energy: -3.507 eV per atom

KH2I2O6 | PBE | optimized geometry

Cell: 5.749 5.914 6.625 Å, 110.27 104.71 108.02°
Element x y z (fractional)
K (0.000, 0.000, 0.000)
H (0.315, 0.869, 0.619)
H (0.685, 0.131, 0.381)
I (0.360, 0.338, 0.675)
I (0.640, 0.662, 0.325)
O (0.188, 0.940, 0.659)
O (0.306, 0.531, 0.095)
O (0.431, 0.222, 0.411)
O (0.569, 0.778, 0.589)
O (0.694, 0.469, 0.905)
O (0.812, 0.060, 0.341)

Properties
* energy: -4.307 eV per atom

KHPbI2 | PBE | optimized geometry

Cell: 6.505 6.505 6.590 Å, 90.00 90.00 90.00°
Element x y z (fractional)
K (0.000, 0.000, 0.000)
H (0.500, 0.500, 0.500)
Pb (0.000, 0.000, 0.500)
I (0.000, 0.500, 0.000)
I (0.500, 0.000, 0.000)

Properties
* energy: -1.774 eV per atom

KRbHI | PBE | optimized geometry

Cell: 5.846 5.846 5.846 Å, 60.00 60.00 60.00°
Element x y z (fractional)
K (0.000, 0.000, 0.000)
Rb (0.500, 0.500, 0.500)
H (0.250, 0.250, 0.250)
I (0.750, 0.750, 0.750)

Properties
* energy above the lowest structure with this stoichiometry: 0.040 eV/atom

KRb2HI | PBE | optimized geometry

Cell: 6.215 6.215 5.564 Å, 90.00 90.00 90.00°
Element x y z (fractional)
K (0.000, 0.000, 0.000)
Rb (0.000, 0.500, 0.500)
Rb (0.500, 0.000, 0.500)
H (0.000, 0.000, 0.500)
I (0.500, 0.500, 0.000)

Properties
* energy: -2.078 eV per atom

KRbHI | PBE | optimized geometry

Cell: 11.981 11.981 11.981 Å, 28.93 28.93 28.93°
Element x y z (fractional)
K (0.130, 0.130, 0.130)
K (0.870, 0.870, 0.870)
Rb (0.283, 0.283, 0.283)
Rb (0.717, 0.717, 0.717)
H (0.203, 0.203, 0.203)
H (0.797, 0.797, 0.797)
I (0.394, 0.394, 0.394)
I (0.606, 0.606, 0.606)

Properties
* energy above the lowest structure with this stoichiometry: 0.000 eV/atom

Repeat the third record exactly.
KHPbI2 | PBE | optimized geometry

Cell: 6.505 6.505 6.590 Å, 90.00 90.00 90.00°
Element x y z (fractional)
K (0.000, 0.000, 0.000)
H (0.500, 0.500, 0.500)
Pb (0.000, 0.000, 0.500)
I (0.000, 0.500, 0.000)
I (0.500, 0.000, 0.000)

Properties
* energy: -1.774 eV per atom